# TbNdHo (GGA-PBE, optimized geometry)
data_TbNdHo
_cell_length_a 3.552
_cell_length_b 5.446
_cell_length_c 10.321
_cell_angle_alpha 90.00
_cell_angle_beta 100.02
_cell_angle_gamma 90.00
_symmetry_space_group_name_H-M 'P 1 21/m 1'
_symmetry_Int_Tables_number 11
_symmetry_space_group_name_Hall '-P 2yb'
loop_
_atom_site_label
_atom_site_fract_x
_atom_site_fract_y
_atom_site_fract_z
Tb1 0.045 0.250 0.081
Nd1 0.205 0.250 0.411
Ho1 0.382 0.250 0.770
# DFT formation energy: 41 meV/atom
# N(E_F): 1.672 states/eV/atom
# M_tot: 0.00 μB/cell
# excess energy over the best structure of this formula in the dataset: 0.0210 eV/atom
# uncorrected energy: -27.7 eV for the cell shown